Record 1
AlSbMo2: relaxed, PBE.

a = 3.3672 Å, b = 3.3672 Å, c = 5.9671 Å
α = 90.00°, β = 90.00°, γ = 90.00°
With the nearest neighbours (Å) after each atom.
Space group P4mm (No. 99)
Unique sites:
Al1 0.0000 0.0000 0.0000 x1  5 Mo 2.67-2.78, 4 Sb 2.93
Sb1 0.5000 0.5000 0.7137 x1  6 Mo 2.80-3.04, 4 Al 2.93
Mo1 0.0000 0.0000 0.4666 x1  1 Al 2.78, 4 Sb 2.80, 4 Mo 2.85
Mo2 0.5000 0.5000 0.2035 x1  4 Al 2.67, 4 Mo 2.85, 1 Sb 2.92

Summary:
density of states at the Fermi level = 1.49 states/eV per cell
theoretical density = 8.36 g cm⁻³
crystal system = tetragonal
energy relative to the elements, uncorrected = -0.055 eV/atom
final energy = -7.44 eV per atom



Record 2
NbTeP: relaxed, PBE.

a = 3.3923 Å, b = 3.4743 Å, c = 10.6874 Å
α = 90.00°, β = 90.00°, γ = 90.00°
With the nearest neighbours (Å) after each atom.
Space group Amm2 (No. 38)
Unique sites:
Nb1 0.0000 0.0000 0.0000 x2  4 P 2.52
Te1 0.0000 0.0000 0.7125 x2  3 Nb 2.86-3.07
P1 0.5000 0.0000 0.4352 x2  4 Nb 2.52

Summary:
density of states at the Fermi level = 3.96 states/eV per cell
theoretical density = 6.63 g cm⁻³
crystal system = orthorhombic
energy relative to the elements, uncorrected = -0.297 eV/atom
final energy = -6.50 eV per atom



Record 3
Al3Zn2Au8: relaxed, PBE.

a = 8.1358 Å, b = 13.1814 Å, c = 4.4222 Å
α = 90.00°, β = 90.00°, γ = 90.00°
With the nearest neighbours (Å) after each atom.
Space group Cmmm (No. 65)
Unique sites:
Al1 0.0000 0.0000 0.0000 x2  8 Au 2.67-2.70
Al2 0.2108 0.5000 0.5000 x4  8 Au 2.63-2.82
Zn1 0.0000 0.2366 0.0000 x4  8 Au 2.66-2.72
Au1 0.0000 0.1177 0.5000 x4  4 Al 2.70-2.82, 2 Zn 2.71
Au2 0.0000 0.3487 0.5000 x4  2 Al 2.63, 2 Zn 2.66, 4 Au 2.93
Au3 0.2298 0.3848 0.0000 x8  3 Al 2.67-2.69, 2 Zn 2.70-2.72, 2 Au 2.93

Summary:
density of states at the Fermi level = 6.69 states/eV per cell
theoretical density = 12.52 g cm⁻³
crystal system = orthorhombic
energy of formation = -240 meV per atom
final energy = -3.32 eV per atom



Record 4
K5Sb2Au: relaxed, PBE.

a = 5.9874 Å, b = 5.9874 Å, c = 29.0849 Å
α = 90.00°, β = 90.00°, γ = 120.00°
With the nearest neighbours (Å) after each atom.
Space group R-3m (No. 166, hexagonal axes)
Unique sites:
K1 0.0000 0.0000 0.0000 x3  8 K 3.76-3.83, 6 Sb 4.08
K2 0.0000 0.0000 0.1316 x6  3 Au 3.60, 4 K 3.83-4.01, 3 Sb 3.83
K3 0.0000 0.0000 0.2826 x6  4 Sb 3.53-3.64, 3 K 3.76
Sb1 0.0000 0.0000 0.4079 x6  1 Au 2.68
Au1 0.0000 0.0000 0.5000 x3  2 Sb 2.68

Summary:
theoretical density = 3.51 g cm⁻³
crystal system = trigonal
energy relative to the elements, uncorrected = -0.482 eV/atom
final energy = -2.61 eV per atom



Record 5
Sr6CaHg4: relaxed, PBE.

a = 11.3166 Å, b = 11.3166 Å, c = 7.8511 Å
α = 90.00°, β = 90.00°, γ = 120.00°
With the nearest neighbours (Å) after each atom.
Space group P6_3mc (No. 186)
Unique sites:
Sr1 0.0572 0.5286 0.0000 x6  3 Hg 3.30-3.49
Sr2 0.1358 0.2715 0.6807 x6  3 Hg 3.32-3.41
Ca1 0.3333 0.6667 0.3814 x2  4 Hg 2.97-3.04
Hg1 0.1852 0.3705 0.2647 x6  1 Ca 3.04, 3 Sr 3.32-3.41
Hg2 0.3333 0.6667 0.7600 x2  1 Ca 2.97, 3 Sr 3.30

Summary:
density of states at the Fermi level = 29.02 states/eV per cell
theoretical density = 5.22 g cm⁻³
crystal system = hexagonal
energy of formation = -360 meV per atom
final energy = -1.57 eV per atom



Record 6
ZrHg4Pb: relaxed, PBE.

a = 8.4009 Å, b = 8.4009 Å, c = 8.4009 Å
α = 90.00°, β = 90.00°, γ = 90.00°
With the nearest neighbours (Å) after each atom.
Space group F-43m (No. 216)
Unique sites:
Zr1 0.0000 0.0000 0.0000 x4  12 Hg 3.48, 4 Pb 3.64
Hg1 0.1254 0.1254 0.6254 x16  6 Hg 2.96-2.98
Pb1 0.2500 0.2500 0.2500 x4  12 Hg 3.48, 4 Zr 3.64

Summary:
density of states at the Fermi level = 23.46 states/eV per cell
theoretical density = 12.33 g cm⁻³
crystal system = cubic
energy of formation = 267 meV per atom
final energy = -1.98 eV per atom



Record 7
AcEuHo2: relaxed, PBE.

a = 3.7940 Å, b = 3.7940 Å, c = 10.1222 Å
α = 90.00°, β = 90.00°, γ = 90.00°
With the nearest neighbours (Å) after each atom.
Space group P4/mmm (No. 123)
Unique sites:
Ac1 0.0000 0.0000 0.0000 x1  8 Ho 3.68, 4 Ac 3.79
Eu1 0.0000 0.0000 0.5000 x1  8 Ho 3.69, 4 Eu 3.79
Ho1 0.5000 0.5000 0.2494 x2  4 Ac 3.68, 4 Eu 3.69, 4 Ho 3.79

Summary:
density of states at the Fermi level = 6.38 states/eV per cell
theoretical density = 8.08 g cm⁻³
crystal system = tetragonal
energy of formation = 99 meV per atom
final energy = -5.79 eV per atom



Record 8
Th4SnPt: relaxed, PBE.

a = 5.5723 Å, b = 20.7309 Å, c = 6.4727 Å
α = 90.00°, β = 90.00°, γ = 90.00°
With the nearest neighbours (Å) after each atom.
Space group Cmcm (No. 63)
Unique sites:
Th1 0.0000 0.0539 0.2500 x4  1 Pt 2.81
Th2 0.0000 0.2082 0.5008 x8  1 Pt 3.08, 4 Th 3.23-3.28, 1 Sn 3.39
Th3 0.0000 0.3976 0.2500 x4  2 Pt 2.82
Sn1 0.0000 0.3522 0.7500 x4  10 Th 3.37-3.46
Pt1 0.0000 0.0815 0.7500 x4  5 Th 2.81-3.08

Summary:
density of states at the Fermi level = 29.51 states/eV per cell
theoretical density = 11.03 g cm⁻³
crystal system = orthorhombic
energy of formation = -411 meV per atom
final energy = -7.03 eV per atom



Record 9
Sr2Zn3PdAu12: relaxed, PBE.

a = 8.3984 Å, b = 8.3984 Å, c = 21.4143 Å
α = 90.00°, β = 90.00°, γ = 120.00°
With the nearest neighbours (Å) after each atom.
Space group R-3m (No. 166, hexagonal axes)
Unique sites:
Sr1 0.0000 0.0000 0.1271 x6  6 Au 3.06-3.11
Zn1 0.0000 0.5000 0.0000 x9  6 Au 2.54
Pd1 0.0000 0.0000 0.5000 x3  6 Au 2.63
Au1 0.0004 0.5002 0.1188 x18  1 Zn 2.54, 1 Pd 2.63
Au2 0.0006 0.5003 0.3697 x18  2 Zn 2.54

Summary:
density of states at the Fermi level = 23.94 states/eV per cell
theoretical density = 10.82 g cm⁻³
crystal system = trigonal
energy of formation = -70 meV per atom
final energy = -2.94 eV per atom



Record 10
CaPmHg6: relaxed, PBE.

a = 4.7091 Å, b = 4.7091 Å, c = 9.2593 Å
α = 90.00°, β = 90.00°, γ = 90.00°
With the nearest neighbours (Å) after each atom.
Space group P4/mmm (No. 123)
Unique sites:
Ca1 0.0000 0.0000 0.0000 x1  12 Hg 3.31-3.33
Pm1 0.0000 0.0000 0.5000 x1  12 Hg 3.29-3.33
Hg1 0.0000 0.5000 0.2515 x4  8 Hg 3.29-3.33, 2 Pm 3.29, 2 Ca 3.31
Hg2 0.5000 0.5000 0.0000 x1  8 Hg 3.31, 4 Ca 3.33
Hg3 0.5000 0.5000 0.5000 x1  8 Hg 3.29, 4 Pm 3.33

Summary:
density of states at the Fermi level = 4.86 states/eV per cell
theoretical density = 11.23 g cm⁻³
crystal system = tetragonal
energy of formation = -362 meV per atom
final energy = -1.43 eV per atom



Record 11
Ce12HoOs7: relaxed, PBE.

a = 14.1549 Å, b = 14.1549 Å, c = 9.8073 Å
α = 90.00°, β = 90.00°, γ = 120.00°
With the nearest neighbours (Å) after each atom.
Space group R-3 (No. 148, hexagonal axes)
Unique sites:
Ce1 0.0254 0.5869 0.1613 x18  3 Os 2.59-2.88
Ce2 0.0449 0.1754 0.8326 x18  3 Os 2.72-2.92
Ho1 0.0000 0.0000 0.5000 x3  6 Os 2.98
Os1 0.0000 0.0000 0.0000 x3  6 Ce 2.77
Os2 0.0376 0.1890 0.3266 x18  4 Ce 2.59-2.88

Summary:
density of states at the Fermi level = 153.27 states/eV per cell
theoretical density = 9.30 g cm⁻³
crystal system = trigonal
energy of formation = -49 meV per atom
final energy = -7.77 eV per atom



Record 12
NdTlHg3: relaxed, PBE.

a = 6.6830 Å, b = 16.0771 Å, c = 5.5655 Å
α = 90.00°, β = 90.00°, γ = 90.00°
With the nearest neighbours (Å) after each atom.
Space group Cmcm (No. 63)
Unique sites:
Nd1 0.0000 0.1914 0.2500 x4  8 Hg 3.15-3.38, 2 Tl 3.42
Tl1 0.0000 0.3553 0.7500 x4  4 Hg 3.28, 2 Nd 3.42
Hg1 0.0000 0.0000 0.0000 x4  2 Hg 2.78
Hg2 0.2415 0.1451 0.7500 x8  3 Nd 3.15-3.30, 4 Hg 3.16-3.46, 2 Tl 3.28

Summary:
density of states at the Fermi level = 12.86 states/eV per cell
theoretical density = 10.56 g cm⁻³
crystal system = orthorhombic
energy of formation = -178 meV per atom
final energy = -1.79 eV per atom



Record 13
CdIr: relaxed, PBE.

a = 5.3723 Å, b = 5.3723 Å, c = 5.4533 Å
α = 90.00°, β = 90.00°, γ = 90.00°
With the nearest neighbours (Å) after each atom.
Space group P4_2/mnm (No. 136)
Unique sites:
Cd1 0.1860 0.1860 0.0000 x4  6 Ir 2.71-2.89, 1 Cd 2.83
Ir1 0.1685 0.1685 0.5000 x4  1 Ir 2.56, 4 Cd 2.71-2.73

Summary:
density of states at the Fermi level = 11.10 states/eV per cell
theoretical density = 12.86 g cm⁻³
crystal system = tetragonal
energy of formation = 822 meV per atom
final energy = -4.07 eV per atom



Record 14
Pm3SmFe: relaxed, PBE.

a = 5.3874 Å, b = 5.3874 Å, c = 5.3874 Å
α = 90.00°, β = 90.00°, γ = 90.00°
With the nearest neighbours (Å) after each atom.
Space group Pm-3m (No. 221)
Unique sites:
Pm1 0.0000 0.0000 0.5000 x3  2 Fe 2.69
Sm1 0.5000 0.5000 0.5000 x1  12 Pm 3.81
Fe1 0.0000 0.0000 0.0000 x1  6 Pm 2.69

Summary:
density of states at the Fermi level = 9.69 states/eV per cell
theoretical density = 6.81 g cm⁻³
crystal system = cubic
energy of formation = 193 meV per atom
final energy = -5.29 eV per atom



Record 15
Cd4FeSi: relaxed, PBE.

a = 7.9560 Å, b = 7.9560 Å, c = 7.9560 Å
α = 90.00°, β = 90.00°, γ = 90.00°
With the nearest neighbours (Å) after each atom.
Space group F-43m (No. 216)
Unique sites:
Cd1 0.1248 0.1248 0.1248 x16  6 Cd 2.81-2.82
Fe1 0.2500 0.2500 0.7500 x4  12 Cd 3.30, 4 Si 3.45
Si1 0.0000 0.0000 0.5000 x4  12 Cd 3.30, 4 Fe 3.45

Summary:
density of states at the Fermi level = 25.38 states/eV per cell
theoretical density = 7.04 g cm⁻³
crystal system = cubic
energy relative to the elements, uncorrected = 0.632 eV/atom
final energy = -2.29 eV per atom



Record 16
NaTi2Nb: relaxed, PBE.

a = 4.0275 Å, b = 4.0275 Å, c = 19.1419 Å
α = 90.00°, β = 90.00°, γ = 90.00°
With the nearest neighbours (Å) after each atom.
Space group I-42d (No. 122)
Unique sites:
Na1 0.0000 0.0000 0.0000 x4  4 Ti 2.82, 4 Nb 2.85
Ti1 0.2254 0.7500 0.6250 x8  4 Ti 2.71-2.99, 2 Nb 2.75, 2 Na 2.82
Nb1 0.0000 0.0000 0.5000 x4  4 Ti 2.75, 4 Na 2.85

Summary:
density of states at the Fermi level = 19.89 states/eV per cell
theoretical density = 4.53 g cm⁻³
crystal system = tetragonal
energy of formation = 1019 meV per atom
final energy = -5.78 eV per atom



Record 17
CrTe2: relaxed, PBE.

a = 11.7573 Å, b = 3.9151 Å, c = 6.8569 Å
α = 90.00°, β = 90.00°, γ = 90.00°
With the nearest neighbours (Å) after each atom.
Space group Pnma (No. 62)
Unique sites:
Cr1 0.1350 0.2500 0.1045 x4  6 Te 2.67-2.73
Te1 0.0107 0.2500 0.7767 x4  3 Cr 2.68-2.73
Te2 0.2340 0.2500 0.4627 x4  3 Cr 2.67-2.72

Summary:
density of states at the Fermi level = 6.51 states/eV per cell
theoretical density = 6.46 g cm⁻³
crystal system = orthorhombic
energy relative to the elements, uncorrected = -0.167 eV/atom
final energy = -5.47 eV per atom



Record 18
AcTbBiO5: relaxed, PBE.

a = 7.9164 Å, b = 10.1437 Å, c = 8.3530 Å
α = 90.00°, β = 117.68°, γ = 90.00°
With the nearest neighbours (Å) after each atom.
Space group C2/c (No. 15)
Unique sites:
Ac1 0.0000 0.1871 0.2500 x4  1 O 2.34
Tb1 0.0000 0.5000 0.0000 x4  6 O 2.25-2.36
Bi1 0.0000 0.1828 0.7500 x4  4 O 2.08-2.21
O1 0.0000 0.4183 0.2500 x4  2 Tb 2.25, 1 Ac 2.34
O2 0.1141 0.2829 0.5860 x8  1 Bi 2.21, 1 Tb 2.36
O3 0.1860 0.0389 0.9175 x8  1 Bi 2.08, 1 Tb 2.28

Summary:
density of states at the Fermi level = 8.90 states/eV per cell
theoretical density = 7.55 g cm⁻³
crystal system = monoclinic
energy relative to the elements, uncorrected = -2.420 eV/atom
final energy = -7.10 eV per atom



Record 19
TcIN2: relaxed, PBE.

a = 3.1449 Å, b = 3.1449 Å, c = 21.4984 Å
α = 90.00°, β = 90.00°, γ = 120.00°
With the nearest neighbours (Å) after each atom.
Space group R-3m (No. 166, hexagonal axes)
Unique sites:
Tc1 0.0000 0.0000 0.0000 x3  2 N 1.84
I1 0.0000 0.0000 0.5000 x3  6 N 2.52
N1 0.0000 0.0000 0.0857 x6  1 Tc 1.84

Summary:
density of states at the Fermi level = 9.99 states/eV per cell
theoretical density = 6.84 g cm⁻³
crystal system = trigonal
energy relative to the elements, uncorrected = 1.685 eV/atom
final energy = -5.46 eV per atom